Record 1
Entry from the Alexandria database: a relaxed structure of Dy6ErTm8 (PBE).

The value obtained for the formation energy is 12.5 kJ per mole of atoms. The size of the total moment is 0.00 μB/cell. The calculation puts the total energy at -198.0 eV/cell.

It has space group R-3 (No. 148, hexagonal axes), with a = 8.9140 Å, b = 8.9140 Å, c = 20.3658 Å, α = 90.00°, β = 90.00° and γ = 120.00°. The asymmetric unit holds Dy at (0.0706, 0.8214, 0.2085), Er at (0.0000, 0.0000, 0.5000), Tm at (0.0000, 0.0000, 0.0764) and Tm at (0.0815, 0.5303, 0.3089).

Record 2
Entry from the Alexandria database: a relaxed structure of Dy12ErTm5 (PBE).

The value obtained for the formation energy is 1.0 kJ per mole of atoms. The size of the total moment is 0.00 μB/cell. The calculation puts the total energy at -163.9 eV/cell.

It has space group C2/m (No. 12), with a = 6.112 Å, b = 10.587 Å, c = 17.226 Å, α = 90.00°, β = 96.78° and γ = 90.00°. The asymmetric unit holds Dy at (0.111, 0.000, 0.333), Dy at (0.111, 0.333, 0.333), Dy at (0.222, 0.167, 0.166), Dy at (0.222, 0.500, 0.166), Er at (0.000, 0.500, 0.500), Tm at (0.000, 0.000, 0.000), Tm at (0.000, 0.167, 0.500) and Tm at (0.000, 0.333, 0.000).

Question: Which of these has the lowest formation energy?
Answer: Dy12ErTm5

Question: What is the size of the total moment in the first record?
Answer: 0.00 μB/cell

Question: The lowest formation energy belongs to which entry?
Answer: Dy12ErTm5